Entry 1:
Material: LiCd2Si
Method: DFT, GGA-PBEsol
State: relaxed

Calculated values
formation energy without anion corrections	0.184	eV/atom
SG	I-42d (122)

The structure in extended XYZ format:
```
8
Lattice="4.181 0.000 0.000 0.000 4.181 0.000 -2.091 -2.091 9.093" Properties=species:S:1:pos:R:3 pbc="T T T"
Li 2.091 0.000 4.547
Li 2.091 2.091 0.000
Cd 1.045 1.047 6.820
Cd -1.045 -1.047 6.820
Cd 1.043 3.136 2.273
Cd 3.138 1.045 2.273
Si 0.000 2.091 4.547
Si 0.000 0.000 0.000
```


Entry 2:
Material: NaFeN2
Method: DFT, GGA-PBEsol
State: relaxed

Calculated values
formation energy without anion corrections	0.354	eV/atom
excess energy over the best structure of this formula in the dataset	489.2	meV per atom
SG	R-3m (166)

The structure in extended XYZ format:
```
4
Lattice="-1.500 2.386 0.427 -2.411 -0.084 1.518 2.036 1.908 6.016" Properties=species:S:1:pos:R:3 pbc="T T T"
Na 0.000 0.000 0.000
N 0.892 1.517 4.178
N -2.768 2.693 3.783
Fe -0.938 2.105 3.981
```


Entry 3:
Material: MgFeTcSn2
Method: DFT, GGA-PBEsol
State: relaxed

Calculated values
calculated formation energy	0.706	eV per atom
SG	P4/mmm (123)

The structure in extended XYZ format:
```
5
Lattice="-0.560 -0.669 -4.607 3.313 -3.860 0.158 -3.815 -3.236 0.933" Properties=species:S:1:pos:R:3 pbc="T T T"
Fe -0.280 -0.334 -2.303
Mg -0.531 -3.882 -1.758
Sn 1.657 -1.930 0.079
Sn -1.907 -1.618 0.467
Tc 0.000 0.000 0.000
```


Entry 4:
Material: Li2HoIn
Method: DFT, GGA-PBEsol
State: relaxed

Calculated values
calculated formation energy	-0.303	eV per atom
SG	Fm-3m (225)

The structure in extended XYZ format:
```
4
Lattice="-2.631 0.731 3.900 -3.926 -2.589 0.743 -0.079 -3.264 3.465" Properties=species:S:1:pos:R:3 pbc="T T T"
Li -1.659 -1.281 2.027
Li -4.977 -3.842 6.081
Ho -3.318 -2.561 4.054
In 0.000 0.000 0.000
```


Entry 5:
Material: MnCoW2
Method: DFT, GGA-PBEsol
State: relaxed

Calculated values
calculated formation energy	0.209	eV per atom
excess energy over the best structure of this formula in the dataset	69.0	meV per atom
SG	P4/mmm (123)

The structure in extended XYZ format:
```
4
Lattice="3.083 0.000 0.000 0.000 3.083 0.000 0.000 0.000 5.464" Properties=species:S:1:pos:R:3 pbc="T T T"
Mn 1.542 1.542 2.732
W 0.000 0.000 1.358
W 0.000 0.000 4.106
Co 1.542 1.542 0.000
```


Entry 6:
Material: CaZrW2
Method: DFT, GGA-PBEsol
State: relaxed

Calculated values
calculated formation energy	0.704	eV per atom
excess energy over the best structure of this formula in the dataset	284.1	meV per atom
SG	F-43m (216)

The structure in extended XYZ format:
```
4
Lattice="-2.901 -3.715 -0.388 0.513 -3.035 -3.590 1.628 -4.366 0.809" Properties=species:S:1:pos:R:3 pbc="T T T"
Zr -0.570 -8.336 -2.377
W 0.000 0.000 0.000
W -0.190 -2.779 -0.792
Ca -0.380 -5.558 -1.585
```


Entry 7:
Material: LiMnPO4
Method: DFT, GGA-PBEsol
State: relaxed

Calculated values
formation energy without anion corrections	-2.016	eV/atom
excess energy over the best structure of this formula in the dataset	57.0	meV per atom
SG	P6_222 (180)

The structure in extended XYZ format:
```
21
Lattice="-4.956 0.627 -1.584 1.797 -4.786 1.151 -3.781 1.574 12.452" Properties=species:S:1:pos:R:3 pbc="T T T"
O -2.404 -2.401 10.162
O -1.864 -3.383 1.251
O -6.556 0.658 8.514
O -3.743 0.082 6.663
O -0.510 -3.410 3.487
O -3.696 -2.458 6.999
O -3.576 -0.403 11.375
O -2.015 -1.111 5.517
O -4.408 -0.017 1.874
O -2.056 -0.459 0.823
O -6.383 -0.924 10.588
O -4.425 -1.682 4.858
Li -0.630 0.262 2.075
Li -3.151 1.312 10.376
Li -1.890 0.787 6.226
Mn -1.579 -2.080 -0.217
Mn -0.362 -1.868 4.726
Mn -4.998 1.363 7.509
P -2.252 -1.081 10.952
P -3.470 -1.292 6.009
P -3.108 0.576 1.283
```


Entry 8:
Material: InB3S
Method: DFT, GGA-PBEsol
State: relaxed

Calculated values
formation energy without anion corrections	1.498	eV/atom
SG	Pm-3m (221)

The structure in extended XYZ format:
```
5
Lattice="3.919 0.000 0.000 0.000 3.919 0.000 0.000 0.000 3.919" Properties=species:S:1:pos:R:3 pbc="T T T"
S 0.000 0.000 0.000
B 0.000 1.960 0.000
B 1.960 0.000 0.000
B 0.000 0.000 1.960
In 1.960 1.960 1.960
```


no.,size of the total moment (μB/f.u.)
1,0.00
2,2.57
3,3.44
4,0.00
5,0.41
6,0.00
7,5.00
8,0.00